# 1
The following is a PBE-GGA calculation of a geometry-optimized SbCIO2 structure, from the Alexandria database.

Cell: 4.158 4.158 4.289 Å, 90.00 90.00 90.00°
Sites, in units of the cell vectors:
O (0.000, 0.500, 0.000)
I (0.000, 0.000, 0.500)
C (0.000, 0.000, 0.000)
Sb (0.500, 0.500, 0.500)
O (0.500, 0.000, 0.000)

total magnetic moment = 0.000 μB per formula unit
distance to the lowest polymorph of the same formula = 523 meV per atom
space-group type = P4/mmm
E_form (uncorrected) = 1199 meV/atom

---

# 2
The following is a PBE-GGA calculation of a geometry-optimized SbCI2O structure, from the Alexandria database.

Cell: 5.786 5.786 4.161 Å, 90.00 90.00 90.00°
Site moments in Bohr magnetons follow the coordinates.
Sites, in units of the cell vectors:
Sb (0.000, 0.000, 0.500)  0.02
I (0.500, 0.000, 0.000)  -0.16
I (0.000, 0.500, 0.000)  -0.16
C (0.500, 0.500, 0.500)  0.85
O (0.000, 0.000, 0.000)  -0.31

total magnetic moment = 0.954 μB per formula unit
distance to the lowest polymorph of the same formula = 606 meV per atom
space-group type = P4/mmm
E_form (uncorrected) = 1577 meV/atom